Model w:
Density functional theory data (PBE) for a relaxed NiOs2Cl crystal.

a = 2.826 Å, b = 2.826 Å, c = 7.374 Å
α = 90.00°, β = 90.00°, γ = 90.00°
Positions (direct):
Cl1 0.000 0.000 0.495
Os1 0.500 0.500 0.231
Os2 0.000 0.000 0.007
Ni1 0.500 0.500 0.767

Calculated values
**Mass density**: 13.39 g/cm³
**Space-group type**: No. 99
**D(E_F)**: 4.353 states/eV/f.u.

Model x:
Density functional theory data (PBE) for a relaxed NiOs2Cl crystal.

a = 8.354 Å, b = 8.354 Å, c = 8.354 Å
α = 19.39°, β = 19.39°, γ = 19.39°
Positions (direct):
Cl1 0.493 0.493 0.493
Ni1 0.753 0.753 0.753
Os1 0.252 0.252 0.252
Os2 0.002 0.002 0.002

Calculated values
**Mass density**: 14.03 g/cm³
**Space-group type**: No. 160
**D(E_F)**: 4.305 states/eV/f.u.

Model y:
Density functional theory data (PBE) for a relaxed NiOs2Cl crystal.

a = 4.506 Å, b = 4.506 Å, c = 2.745 Å
α = 90.00°, β = 90.00°, γ = 100.65°
Positions (direct):
Cl1 0.500 0.000 0.500
Os1 0.500 0.500 0.000
Os2 0.000 0.000 0.000
Ni1 0.000 0.500 0.500

Calculated values
**Mass density**: 14.39 g/cm³
**Space-group type**: No. 65
**D(E_F)**: 6.140 states/eV/f.u.

Model z:
Density functional theory data (PBE) for a relaxed NiOs2Cl crystal.

a = 4.244 Å, b = 4.244 Å, c = 4.244 Å
α = 60.00°, β = 60.00°, γ = 60.00°
Positions (direct):
Os1 0.250 0.250 0.250
Os2 0.750 0.750 0.750
Ni1 0.500 0.500 0.500
Cl1 0.000 0.000 0.000

Calculated values
**Mass density**: 14.59 g/cm³
**Space-group type**: No. 225
**D(E_F)**: 5.105 states/eV/f.u.

Stability ranking, top entry: model x; the second entry is 100 meV/atom less favorable.

Model w:
Density functional theory data (PBE) for a relaxed NiOs2Cl crystal.

a = 2.756 Å, b = 2.756 Å, c = 8.834 Å
α = 90.00°, β = 90.00°, γ = 120.91°
Positions (direct):
Ni1 0.500 0.500 0.750
Cl1 0.500 0.500 0.250
Os1 0.000 0.000 0.991
Os2 0.000 0.000 0.509

Calculated values
**Mass density**: 13.69 g/cm³
**Space-group type**: No. 65
**D(E_F)**: 6.137 states/eV/f.u.

Model x:
Density functional theory data (PBE) for a relaxed NiOs2Cl crystal.

a = 4.324 Å, b = 4.324 Å, c = 4.324 Å
α = 60.00°, β = 60.00°, γ = 60.00°
Positions (direct):
Os1 0.000 0.000 0.000
Os2 0.750 0.750 0.750
Ni1 0.250 0.250 0.250
Cl1 0.500 0.500 0.500

Calculated values
**Mass density**: 13.78 g/cm³
**Space-group type**: No. 216
**D(E_F)**: 5.351 states/eV/f.u.

Model y:
Density functional theory data (PBE) for a relaxed NiOs2Cl crystal.

a = 3.442 Å, b = 2.827 Å, c = 6.523 Å
α = 89.89°, β = 90.00°, γ = 90.00°
Positions (direct):
Os1 0.500 0.500 0.196
Os2 0.000 0.000 0.007
Cl1 0.000 0.497 0.506
Ni1 0.500 0.502 0.791

Calculated values
**Mass density**: 12.42 g/cm³
**Space-group type**: No. 6
**D(E_F)**: 3.752 states/eV/f.u.

Stability ranking, top entry: model y; the second entry is 407 meV/atom less favorable.

Model w:
Density functional theory data (PBE) for a relaxed NiOs2Cl crystal.

a = 2.758 Å, b = 2.758 Å, c = 9.229 Å
α = 90.00°, β = 90.00°, γ = 119.86°
Each line ends with the local moment (μB).
Positions (direct):
Os1 0.500 0.500 0.220  0.15
Os2 0.000 0.000 0.982  0.33
Cl1 0.000 0.000 0.549  0.05
Ni1 0.500 0.500 0.749  0.39

Calculated values
**Mass density**: 12.95 g/cm³
**Space-group type**: No. 35
**D(E_F)**: 5.804 states/eV/f.u.

Model x:
Density functional theory data (PBE) for a relaxed NiOs2Cl crystal.

a = 4.331 Å, b = 4.331 Å, c = 5.065 Å
α = 79.22°, β = 79.22°, γ = 37.81°
Positions (direct):
Cl1 0.750 0.750 0.750
Os1 0.502 0.502 0.469
Os2 0.998 0.998 0.031
Ni1 0.250 0.250 0.250

Calculated values
**Mass density**: 13.81 g/cm³
**Space-group type**: No. 12
**D(E_F)**: 4.564 states/eV/f.u.

Model y:
Density functional theory data (PBE) for a relaxed NiOs2Cl crystal.

a = 8.547 Å, b = 8.547 Å, c = 8.547 Å
α = 18.71°, β = 18.71°, γ = 18.71°
Positions (direct):
Os1 0.004 0.004 0.004
Os2 0.496 0.496 0.496
Ni1 0.750 0.750 0.750
Cl1 0.250 0.250 0.250

Calculated values
**Mass density**: 14.03 g/cm³
**Space-group type**: No. 166
**D(E_F)**: 5.066 states/eV/f.u.

Stability ranking, top entry: model w; the second entry is 43 meV/atom less favorable.

Model w:
Density functional theory data (PBE) for a relaxed NiOs2Cl crystal.

a = 3.644 Å, b = 3.644 Å, c = 9.804 Å
α = 79.29°, β = 79.29°, γ = 90.00°
Each line ends with the local moment (μB).
Positions (direct):
Cl1 0.500 0.500 0.000  0.01
Cl2 0.250 0.750 0.500  0.01
Os1 0.875 0.910 0.750  0.01
Os2 0.375 0.340 0.750  0.01
Os3 0.090 0.625 0.250  0.01
Os4 0.660 0.125 0.250  0.01
Ni1 0.000 0.000 0.000  0.12
Ni2 0.750 0.250 0.500  0.12

Calculated values
**Mass density**: 12.55 g/cm³
**Space-group type**: No. 122
**D(E_F)**: 5.504 states/eV/f.u.

Model x:
Density functional theory data (PBE) for a relaxed NiOs2Cl crystal.

a = 5.575 Å, b = 5.575 Å, c = 5.575 Å
α = 151.75°, β = 133.65°, γ = 55.17°
Positions (direct):
Os1 0.986 0.986 0.000
Os2 0.769 0.269 0.500
Cl1 0.518 0.518 0.000
Ni1 0.227 0.727 0.500

Calculated values
**Mass density**: 13.36 g/cm³
**Space-group type**: No. 44
**D(E_F)**: 4.267 states/eV/f.u.

Stability ranking, top entry: model x; the second entry is 191 meV/atom less favorable.

Model w:
Density functional theory data (PBE) for a relaxed NiOs2Cl crystal.

a = 6.454 Å, b = 6.454 Å, c = 6.454 Å
α = 154.44°, β = 148.28°, γ = 41.17°
Positions (direct):
Os1 0.548 0.548 0.000
Os2 0.952 0.952 0.000
Ni1 0.250 0.750 0.500
Cl1 0.750 0.250 0.500

Calculated values
**Mass density**: 12.95 g/cm³
**Space-group type**: No. 71
**D(E_F)**: 3.743 states/eV/f.u.

Model x:
Density functional theory data (PBE) for a relaxed NiOs2Cl crystal.

a = 2.827 Å, b = 3.524 Å, c = 6.472 Å
α = 90.00°, β = 90.00°, γ = 90.00°
Positions (direct):
Cl1 0.000 0.000 0.569
Ni1 0.500 0.500 0.774
Os1 0.500 0.500 0.170
Os2 0.000 0.000 0.987

Calculated values
**Mass density**: 12.22 g/cm³
**Space-group type**: No. 25
**D(E_F)**: 3.806 states/eV/f.u.

Stability ranking, top entry: model x; the second entry is 236 meV/atom less favorable.

Model w:
Density functional theory data (PBE) for a relaxed NiOs2Cl crystal.

a = 3.664 Å, b = 3.664 Å, c = 7.769 Å
α = 70.01°, β = 70.01°, γ = 44.68°
Positions (direct):
Os1 0.989 0.989 0.991
Os2 0.808 0.808 0.792
Cl1 0.501 0.501 0.486
Ni1 0.202 0.202 0.231

Calculated values
**Mass density**: 11.57 g/cm³
**Space-group type**: No. 8
**D(E_F)**: 3.171 states/eV/f.u.

Model x:
Density functional theory data (PBE) for a relaxed NiOs2Cl crystal.

a = 4.227 Å, b = 2.752 Å, c = 5.279 Å
α = 103.34°, β = 90.00°, γ = 90.00°
Positions (direct):
Cl1 0.500 0.250 0.250
Ni1 0.500 0.750 0.750
Os1 0.000 0.386 0.537
Os2 0.000 0.114 0.963

Calculated values
**Mass density**: 13.19 g/cm³
**Space-group type**: No. 10
**D(E_F)**: 5.499 states/eV/f.u.

Model y:
Density functional theory data (PBE) for a relaxed NiOs2Cl crystal.

a = 2.710 Å, b = 4.712 Å, c = 4.513 Å
α = 90.00°, β = 90.00°, γ = 90.00°
Each line ends with the local moment (μB).
Positions (direct):
Ni1 0.000 0.500 0.500  0.47
Cl1 0.500 0.000 0.500  0.05
Os1 0.000 0.000 0.000  0.01
Os2 0.500 0.500 0.000  0.14

Calculated values
**Mass density**: 13.68 g/cm³
**Space-group type**: No. 47
**D(E_F)**: 5.418 states/eV/f.u.

Model z:
Density functional theory data (PBE) for a relaxed NiOs2Cl crystal.

a = 2.976 Å, b = 2.976 Å, c = 6.758 Å
α = 90.00°, β = 90.00°, γ = 90.00°
Positions (direct):
Os1 0.000 0.000 0.942
Os2 0.000 0.000 0.558
Cl1 0.500 0.500 0.250
Ni1 0.500 0.500 0.750

Calculated values
**Mass density**: 13.17 g/cm³
**Space-group type**: No. 123
**D(E_F)**: 3.500 states/eV/f.u.

Stability ranking, top entry: model w; the second entry is 259 meV/atom less favorable.

Model w:
Density functional theory data (PBE) for a relaxed Ni2OsCl2 crystal.

a = 7.121 Å, b = 7.121 Å, c = 3.080 Å
α = 90.00°, β = 90.00°, γ = 90.00°
Each line ends with the local moment (μB).
Positions (direct):
Ni1 0.184 0.316 0.000  0.72
Ni2 0.316 0.816 0.000  0.65
Ni3 0.816 0.684 0.000  0.72
Ni4 0.684 0.184 0.000  0.65
Cl1 0.852 0.352 0.500  0.11
Cl2 0.352 0.148 0.500  0.12
Cl3 0.148 0.648 0.500  0.11
Cl4 0.648 0.852 0.500  0.12
Os1 0.500 0.500 0.000  2.01
Os2 0.000 0.000 0.000  2.01

Calculated values
**Mass density**: 8.05 g/cm³
**Space-group type**: No. 127
**D(E_F)**: 4.496 states/eV/f.u.

Model x:
Density functional theory data (PBE) for a relaxed Ni2OsCl2 crystal.

a = 3.868 Å, b = 3.868 Å, c = 6.045 Å
α = 71.34°, β = 71.34°, γ = 90.00°
Each line ends with the local moment (μB).
Positions (direct):
Cl1 0.750 0.250 0.500  0.26
Cl2 0.250 0.750 0.500  0.26
Os1 0.000 0.000 0.000  2.70
Ni1 0.608 0.608 0.783  0.98
Ni2 0.392 0.392 0.217  0.98

Calculated values
**Mass density**: 7.79 g/cm³
**Space-group type**: No. 139
**D(E_F)**: 4.378 states/eV/f.u.

Stability ranking, top entry: model w; the second entry is 126 meV/atom less favorable.

Model w:
Density functional theory data (PBE) for a relaxed NiP2OsCl crystal.

a = 4.497 Å, b = 4.497 Å, c = 5.075 Å
α = 90.00°, β = 90.00°, γ = 90.00°
Each line ends with the local moment (μB).
Positions (direct):
P1 0.000 0.500 0.000  0.01
P2 0.500 0.000 0.000  0.01
Ni1 0.500 0.500 0.500  0.79
Cl1 0.000 0.000 0.500  0.03
Os1 0.000 0.000 0.000  -0.03

Calculated values
**Mass density**: 5.60 g/cm³
**Space-group type**: No. 123
**D(E_F)**: 6.148 states/eV/f.u.

Model x:
Density functional theory data (PBE) for a relaxed NiP2OsCl crystal.

a = 4.295 Å, b = 4.295 Å, c = 4.391 Å
α = 90.00°, β = 90.00°, γ = 90.00°
Positions (direct):
P1 0.500 0.000 0.000
P2 0.000 0.500 0.000
Os1 0.500 0.500 0.500
Cl1 0.000 0.000 0.500
Ni1 0.000 0.000 0.000

Calculated values
**Mass density**: 7.10 g/cm³
**Space-group type**: No. 123
**D(E_F)**: 3.627 states/eV/f.u.

Stability ranking, top entry: model w; the second entry is 290 meV/atom less favorable.

Model w:
Density functional theory data (PBE) for a relaxed NiPCl crystal.

a = 4.135 Å, b = 4.135 Å, c = 4.135 Å
α = 60.00°, β = 60.00°, γ = 60.00°
Positions (direct):
Ni1 0.750 0.750 0.750
Cl1 0.500 0.500 0.500
P1 0.000 0.000 0.000

Calculated values
**Mass density**: 4.16 g/cm³
**Space-group type**: No. 216
**D(E_F)**: 3.008 states/eV/f.u.

Model x:
Density functional theory data (PBE) for a relaxed NiPCl crystal.

a = 3.250 Å, b = 3.250 Å, c = 6.718 Å
α = 90.00°, β = 90.00°, γ = 120.00°
Positions (direct):
P1 0.667 0.333 0.531
Cl1 0.000 0.000 0.126
Ni1 0.333 0.667 0.343

Calculated values
**Mass density**: 3.38 g/cm³
**Space-group type**: No. 156

Stability ranking, top entry: model x; the second entry is 660 meV/atom less favorable.

Model w:
Density functional theory data (PBE) for a relaxed NiPCl crystal.

a = 5.626 Å, b = 5.626 Å, c = 5.626 Å
α = 147.75°, β = 147.72°, γ = 46.28°
Positions (direct):
Ni1 0.226 0.226 0.000
Cl1 0.991 0.991 0.000
P1 0.783 0.783 0.000

Calculated values
**Mass density**: 4.11 g/cm³
**Space-group type**: No. 107
**D(E_F)**: 1.211 states/eV/f.u.

Model x:
Density functional theory data (PBE) for a relaxed NiPCl crystal.

a = 4.221 Å, b = 4.221 Å, c = 4.221 Å
α = 60.00°, β = 60.00°, γ = 60.00°
Positions (direct):
P1 0.750 0.750 0.750
Ni1 0.500 0.500 0.500
Cl1 0.000 0.000 0.000

Calculated values
**Mass density**: 3.91 g/cm³
**Space-group type**: No. 216
**D(E_F)**: 2.315 states/eV/f.u.

Model y:
Density functional theory data (PBE) for a relaxed NiPCl crystal.

a = 6.879 Å, b = 6.563 Å, c = 3.161 Å
α = 82.04°, β = 70.89°, γ = 27.07°
Positions (direct):
Cl1 0.951 0.951 0.049
Ni1 0.327 0.327 0.673
P1 0.721 0.721 0.279

Calculated values
**Mass density**: 3.62 g/cm³
**Space-group type**: No. 42
**D(E_F)**: 1.772 states/eV/f.u.

Stability ranking, top entry: model w; the second entry is 200 meV/atom less favorable.

Model w:
Density functional theory data (PBE) for a relaxed NiPCl crystal.

a = 3.291 Å, b = 4.735 Å, c = 9.515 Å
α = 74.27°, β = 80.04°, γ = 69.66°
Positions (direct):
P1 0.875 0.736 0.514
P2 0.125 0.264 0.486
Cl1 0.318 0.190 0.174
Cl2 0.682 0.810 0.826
Ni1 0.733 0.193 0.340
Ni2 0.267 0.807 0.660

Calculated values
**Mass density**: 3.12 g/cm³
**Space-group type**: No. 12
**D(E_F)**: 1.054 states/eV/f.u.

Model x:
Density functional theory data (PBE) for a relaxed NiPCl crystal.

a = 6.268 Å, b = 6.268 Å, c = 6.268 Å
α = 152.76°, β = 152.76°, γ = 38.90°
Positions (direct):
Cl1 0.956 0.956 0.000
P1 0.723 0.723 0.000
Ni1 0.322 0.322 0.000

Calculated values
**Mass density**: 4.04 g/cm³
**Space-group type**: No. 107
**D(E_F)**: 0.836 states/eV/f.u.

Stability ranking, top entry: model w; the second entry is 491 meV/atom less favorable.